No. 1
Here is crystalline Ce5Al3In3 at its relaxed geometry from Alexandria via LeMat-Bulk. Energies are from GGA-PBE.

Summary:
Formation energy in eV per formula unit: 0.36
Size of the total moment in μB/atom: 0.41
Calculated density in g/cm3: 6.6
DOS(E_F) in states/eV per atom: 2.470
Space-group type: P-62m

abc: 3.153 10.174 10.174
angles: 120.00 90.00 90.00
Positions (direct):
Ce (0.500, 0.667, 0.333)
Ce (0.500, 0.333, 0.667)
Ce (0.500, 0.347, 0.000)
Ce (0.500, 0.653, 0.653)
Ce (0.500, 0.000, 0.347)
Al (0.500, 0.854, 0.000)
Al (0.500, 0.146, 0.146)
Al (0.500, 0.000, 0.854)
In (0.000, 0.627, 0.000)
In (0.000, 0.000, 0.627)
In (0.000, 0.373, 0.373)

***

No. 2
Here is crystalline PaBeSbO6 at its relaxed geometry from Alexandria via LeMat-Bulk. Energies are from GGA-PBE.

Summary:
ΔE_f (raw) in meV/atom: -2408
Size of the total moment in μB/atom: 0.00
Calculated density in g/cm3: 7.3
DOS(E_F) in states/eV per atom: 0.000
Space-group type: P-31c

abc: 4.990 4.990 9.692
angles: 90.00 90.00 120.00
Positions (direct):
Pa (0.000, 0.000, 0.000)
Pa (0.000, 0.000, 0.500)
Be (0.667, 0.333, 0.250)
Be (0.333, 0.667, 0.750)
Sb (0.333, 0.667, 0.250)
Sb (0.667, 0.333, 0.750)
O (0.655, 0.639, 0.138)
O (0.984, 0.345, 0.138)
O (0.345, 0.984, 0.638)
O (0.016, 0.655, 0.862)
O (0.361, 0.345, 0.362)
O (0.984, 0.639, 0.362)
O (0.639, 0.984, 0.862)
O (0.655, 0.016, 0.362)
O (0.016, 0.361, 0.638)
O (0.361, 0.016, 0.138)
O (0.639, 0.655, 0.638)
O (0.345, 0.361, 0.862)

***

No. 3
Here is crystalline NaTe3As at its relaxed geometry from Alexandria via LeMat-Bulk. Energies are from GGA-PBE.

Summary:
Polymorph energy (0 for the lowest one) in eV per formula unit: 1.20
ΔE_f (raw) in meV/atom: 44
Size of the total moment in μB/atom: 0.00
Calculated density in g/cm3: 4.7
DOS(E_F) in states/eV per atom: 0.748
Space-group type: Pm-3m

abc: 5.520 5.520 5.520
angles: 90.00 90.00 90.00
Positions (direct):
Na (0.500, 0.500, 0.500)
As (0.000, 0.000, 0.000)
Te (0.000, 0.500, 0.000)
Te (0.000, 0.000, 0.500)
Te (0.500, 0.000, 0.000)

***

No. 4
Here is crystalline Tb4Pm2NdDy at its relaxed geometry from Alexandria via LeMat-Bulk. Energies are from GGA-PBE.

Summary:
Formation energy in eV per formula unit: 3.28
Size of the total moment in μB/atom: 0.34
Calculated density in g/cm3: 7.6
DOS(E_F) in states/eV per atom: 2.349
Space-group type: C2/c

abc: 9.553 9.553 11.867
angles: 128.40 128.40 88.34
Positions (direct):
Tb (0.247, 0.753, 0.000)
Tb (0.747, 0.253, 0.500)
Tb (0.253, 0.747, 0.500)
Tb (0.753, 0.247, 0.000)
Tb (0.748, 0.749, 0.996)
Tb (0.751, 0.752, 0.504)
Tb (0.249, 0.248, 0.496)
Tb (0.252, 0.251, 0.004)
Pm (0.500, 0.000, 0.000)
Pm (0.500, 0.000, 0.500)
Pm (0.000, 0.000, 0.500)
Pm (0.500, 0.500, 0.000)
Nd (0.000, 0.500, 0.000)
Nd (0.000, 0.500, 0.500)
Dy (0.500, 0.500, 0.500)
Dy (0.000, 0.000, 0.000)

***

No. 5
Here is crystalline In2TeP at its relaxed geometry from Alexandria via LeMat-Bulk. Energies are from GGA-PBE.

Summary:
Polymorph energy (0 for the lowest one) in eV per formula unit: 1.62
ΔE_f (raw) in meV/atom: 253
Size of the total moment in μB/atom: 0.00
Calculated density in g/cm3: 6.5
DOS(E_F) in states/eV per atom: 0.686
Space-group type: P4/mmm

abc: 5.159 5.159 3.739
angles: 90.00 90.00 90.00
Positions (direct):
In (0.000, 0.000, 0.000)
In (0.500, 0.500, 0.000)
P (0.500, 0.000, 0.500)
Te (0.000, 0.500, 0.500)

***

No. 6
Here is crystalline Ce2PrHg2 at its relaxed geometry from Alexandria via LeMat-Bulk. Energies are from GGA-PBE.

Summary:
Formation energy in eV per formula unit: -0.89
Size of the total moment in μB/atom: 0.15
Calculated density in g/cm3: 9.5
DOS(E_F) in states/eV per atom: 2.480
Space-group type: C2/m

abc: 4.350 4.350 8.032
angles: 103.04 103.04 93.01
Positions (direct):
Ce (0.216, 0.784, 0.500)
Ce (0.784, 0.216, 0.500)
Pr (0.000, 0.000, 0.000)
Hg (0.584, 0.584, 0.191)
Hg (0.416, 0.416, 0.809)

***

No. 7
Here is crystalline SrMg2CdNi at its relaxed geometry from Alexandria via LeMat-Bulk. Energies are from GGA-PBE.

Summary:
Formation energy in eV per formula unit: -0.55
Size of the total moment in μB/atom: 0.00
Calculated density in g/cm3: 4.1
DOS(E_F) in states/eV per atom: 0.645
Space-group type: P4/mmm

abc: 4.947 4.947 5.120
angles: 90.00 90.00 90.00
Positions (direct):
Sr (0.500, 0.500, 0.500)
Mg (0.000, 0.500, 0.000)
Mg (0.500, 0.000, 0.000)
Ni (0.000, 0.000, 0.000)
Cd (0.000, 0.000, 0.500)

***

No. 8
Here is crystalline Tb2Tm2Ge3 at its relaxed geometry from Alexandria via LeMat-Bulk. Energies are from GGA-PBE.

Summary:
Formation energy in eV per formula unit: -4.17
Size of the total moment in μB/atom: 0.00
Calculated density in g/cm3: 6.9
DOS(E_F) in states/eV per atom: 0.226
Space-group type: C2/m

abc: 4.187 7.227 7.540
angles: 105.65 90.04 106.82
Positions (direct):
Tb (0.625, 0.251, 0.899)
Tb (0.375, 0.749, 0.101)
Tm (0.842, 0.684, 0.662)
Tm (0.158, 0.316, 0.338)
Ge (0.000, 0.000, 0.000)
Ge (0.781, 0.561, 0.267)
Ge (0.219, 0.439, 0.733)

***

No. 9
Here is crystalline Tb2Be3CuGe4 at its relaxed geometry from Alexandria via LeMat-Bulk. Energies are from GGA-PBE.

Summary:
Formation energy in eV per formula unit: -3.83
Size of the total moment in μB/atom: 0.00
Calculated density in g/cm3: 7.2
DOS(E_F) in states/eV per atom: 0.343
Space-group type: P-4m2

abc: 4.069 4.069 9.694
angles: 90.00 90.00 90.00
Positions (direct):
Tb (0.500, 0.000, 0.248)
Tb (0.000, 0.500, 0.752)
Be (0.000, 0.000, 0.500)
Be (0.500, 0.000, 0.872)
Be (0.000, 0.500, 0.128)
Cu (0.500, 0.500, 0.500)
Ge (0.500, 0.500, 0.000)
Ge (0.000, 0.000, 0.000)
Ge (0.500, 0.000, 0.639)
Ge (0.000, 0.500, 0.361)

***

No. 10
Here is crystalline La2TbTm5 at its relaxed geometry from Alexandria via LeMat-Bulk. Energies are from GGA-PBE.

Summary:
Polymorph energy (0 for the lowest one) in eV per formula unit: 0.91
Formation energy in eV per formula unit: 1.20
Size of the total moment in μB/atom: 0.00
Calculated density in g/cm3: 8.1
DOS(E_F) in states/eV per atom: 1.694
Space-group type: Cmcm

abc: 5.634 6.345 16.459
angles: 90.00 90.00 116.36
Positions (direct):
La (0.778, 0.556, 0.366)
La (0.778, 0.556, 0.134)
La (0.222, 0.444, 0.634)
La (0.222, 0.444, 0.866)
Tb (0.790, 0.579, 0.750)
Tb (0.210, 0.421, 0.250)
Tm (0.911, 0.822, 0.927)
Tm (0.911, 0.822, 0.573)
Tm (0.391, 0.781, 0.443)
Tm (0.391, 0.781, 0.057)
Tm (0.513, 0.025, 0.250)
Tm (0.487, 0.975, 0.750)
Tm (0.609, 0.219, 0.557)
Tm (0.609, 0.219, 0.943)
Tm (0.089, 0.178, 0.073)
Tm (0.089, 0.178, 0.427)

***

No. 11
Here is crystalline Mn2GaRuN at its relaxed geometry from Alexandria via LeMat-Bulk. Energies are from GGA-PBE.

Summary:
ΔE_f (raw) in meV/atom: -195
Size of the total moment in μB/atom: 0.56
Calculated density in g/cm3: 8.4
DOS(E_F) in states/eV per atom: 0.687
Space-group type: P4/mmm

abc: 3.773 3.773 4.110
angles: 90.00 90.00 90.00
Positions (direct):
Ru (0.000, 0.000, 0.500)
Mn (0.000, 0.500, 0.000)
Mn (0.500, 0.000, 0.000)
Ga (0.500, 0.500, 0.500)
N (0.000, 0.000, 0.000)

***

No. 12
Here is crystalline CeHo4Tm at its relaxed geometry from Alexandria via LeMat-Bulk. Energies are from GGA-PBE.

Summary:
Polymorph energy (0 for the lowest one) in eV per formula unit: 0.00
Formation energy in eV per formula unit: 0.15
Size of the total moment in μB/atom: 0.14
Calculated density in g/cm3: 8.7
DOS(E_F) in states/eV per atom: 1.710
Space-group type: C2/m

abc: 3.543 6.128 17.093
angles: 96.77 90.00 90.00
Positions (direct):
Ce (0.500, 0.000, 0.500)
Ce (0.000, 0.000, 0.000)
Ho (0.500, 0.613, 0.333)
Ho (0.000, 0.387, 0.167)
Ho (0.500, 0.387, 0.667)
Ho (0.000, 0.613, 0.833)
Ho (0.000, 0.110, 0.334)
Ho (0.500, 0.890, 0.166)
Ho (0.000, 0.890, 0.666)
Ho (0.500, 0.110, 0.834)
Tm (0.000, 0.500, 0.500)
Tm (0.500, 0.500, 0.000)